[1]
VASP calculation (GGA-PBE) on a relaxed structure of SrAcRh.

Unit cell a=4.432 b=7.384 c=8.433 alpha=90.00 beta=90.00 gamma=126.96
Fractional coordinates of all 6 atoms:
1 Sr 0.500 0.750 0.122
2 Sr 0.500 0.250 0.878
3 Ac 0.500 0.250 0.401
4 Ac 0.500 0.750 0.599
5 Rh 0.000 0.250 0.642
6 Rh 0.000 0.750 0.358

Results
ΔE to the lowest computed polymorph ... 0.0 meV per atom
N(E_F) ... 1.45 states/eV/f.u.
Space-group type ... P2/c, No. 13
Calculated total energy ... -4.8469 eV/atom
V ... 36.8 A^3/atom
Energy of formation ... -1.40 eV/f.u.

---

[2]
VASP calculation (GGA-PBE) on a relaxed structure of SrAcRh2.

Unit cell a=3.705 b=3.705 c=7.286 alpha=90.00 beta=90.00 gamma=90.00
Fractional coordinates of all 4 atoms:
1 Sr 0.500 0.500 0.500
2 Ac 0.500 0.500 0.000
3 Rh 0.000 0.000 0.778
4 Rh 0.000 0.000 0.222

Results
ΔE to the lowest computed polymorph ... 49.9 meV per atom
N(E_F) ... 2.88 states/eV/f.u.
Space-group type ... P4/mmm, No. 123
Calculated total energy ... -5.4774 eV/atom
V ... 25.0 A^3/atom
Energy of formation ... -1.42 eV/f.u.

---

[3]
VASP calculation (GGA-PBE) on a relaxed structure of SrAcRh.

Unit cell a=3.753 b=3.753 c=7.588 alpha=104.32 beta=104.32 gamma=90.00
Fractional coordinates of all 3 atoms:
1 Sr 0.036 0.036 0.073
2 Ac 0.285 0.285 0.570
3 Rh 0.679 0.679 0.358

Results
ΔE to the lowest computed polymorph ... 132.4 meV per atom
N(E_F) ... 1.61 states/eV/f.u.
Space-group type ... I4mm, No. 107
Calculated total energy ... -4.7146 eV/atom
V ... 33.4 A^3/atom
Energy of formation ... -1.00 eV/f.u.